A relaxed structure of Ac2Pm5Y3. Source: Alexandria, functional GGA-PBE.

Properties
Space group   No. 15
Final energy   -98.510 eV for the cell shown
Formation enthalpy at 0 K   0.211 eV/atom

a = 9.060 Å, b = 9.060 Å, c = 10.554 Å
α = 106.76°, β = 106.76°, γ = 103.92°
Sites, in units of the cell vectors:
1 Ac 0.048 0.296 0.054
2 Ac 0.296 0.048 0.554
3 Ac 0.704 0.952 0.446
4 Ac 0.952 0.704 0.946
5 Pm 0.023 0.977 0.750
6 Pm 0.081 0.339 0.679
7 Pm 0.245 0.755 0.750
8 Pm 0.339 0.081 0.179
9 Pm 0.498 0.502 0.750
10 Pm 0.502 0.498 0.250
11 Pm 0.661 0.919 0.821
12 Pm 0.755 0.245 0.250
13 Pm 0.919 0.661 0.321
14 Pm 0.977 0.023 0.250
15 Y 0.216 0.463 0.430
16 Y 0.267 0.733 0.250
17 Y 0.463 0.216 0.930
18 Y 0.537 0.784 0.070
19 Y 0.733 0.267 0.750
20 Y 0.784 0.537 0.570